Record 1
This record from the Alexandria database describes Ho3ErBi2C after structural relaxation. The functional is GGA-PBE.

Unit cell a=4.8111 b=4.8336 c=15.9315 alpha=90.00 beta=90.00 gamma=90.00
Space group Immm (No. 71)
One atom of each set of equivalent atoms:
Ho  0.0000  0.0000  0.0000 [2 per cell]
Ho  0.0000  0.5000  0.1523 [4 per cell]
Er  0.0000  0.0000  0.5000 [2 per cell]
Bi  0.0000  0.5000  0.3553 [4 per cell]
C  0.0000  0.5000  0.0000 [2 per cell]

Results
DOS(E_F) = 10.8 states/eV/cell
E_form = -641.4 meV per atom
calculated density = 9.79 g/cm³

---

Record 2
This record from the Alexandria database describes CaSi2Bi2Au7 after structural relaxation. The functional is GGA-PBE.

Unit cell a=6.2659 b=6.1645 c=13.8620 alpha=90.00 beta=96.08 gamma=90.00
Space group C2/m (No. 12)
One atom of each set of equivalent atoms:
Ca  0.0000  0.0000  0.0000 [2 per cell]
Si  0.0536  0.5000  0.2418 [4 per cell]
Bi  0.1055  0.0000  0.3990 [4 per cell]
Au  0.0000  0.5000  0.0000 [2 per cell]
Au  0.1179  0.5000  0.4158 [4 per cell]
Au  0.2157  0.2494  0.8443 [8 per cell]

Results
formation energy without anion corrections = -170 meV per atom
DOS(E_F) = 8.5 states/eV/cell
calculated density = 11.81 g/cm³

---

Record 3
This record from the Alexandria database describes PrSmDy2 after structural relaxation. The functional is GGA-PBE.

Unit cell a=8.1156 b=8.1156 c=8.1156 alpha=90.00 beta=90.00 gamma=90.00
Space group Fm-3m (No. 225)
One atom of each set of equivalent atoms:
Pr  0.0000  0.0000  0.0000 [4 per cell]
Sm  0.0000  0.0000  0.5000 [4 per cell]
Dy  0.2500  0.2500  0.2500 [8 per cell]

Results
DOS(E_F) = 32.6 states/eV/cell
ΔE to the lowest computed polymorph = 125 meV/atom
E_form = 122.3 meV per atom
calculated density = 7.66 g/cm³

---

Record 4
This record from the Alexandria database describes Fe2HPd2 after structural relaxation. The functional is GGA-PBE.

Unit cell a=3.0190 b=3.0190 c=13.8050 alpha=90.00 beta=90.00 gamma=90.00
Space group I4/mmm (No. 139)
One atom of each set of equivalent atoms:
Fe  0.0000  0.5000  0.2500 [4 per cell]
H  0.0000  0.0000  0.0000 [2 per cell]
Pd  0.0000  0.0000  0.4054 [4 per cell]

Results
DOS(E_F) = 13.2 states/eV/cell
ΔE to the lowest computed polymorph = 77 meV/atom
calculated density = 8.59 g/cm³

---

Record 5
This record from the Alexandria database describes NaCaNd2Hg4 after structural relaxation. The functional is GGA-PBE.

Unit cell a=5.3364 b=5.3364 c=26.1906 alpha=90.00 beta=90.00 gamma=120.00
Space group R-3m (No. 166, hexagonal axes)
One atom of each set of equivalent atoms:
Na  0.0000  0.0000  0.0000 [3 per cell]
Ca  0.0000  0.0000  0.5000 [3 per cell]
Nd  0.0000  0.0000  0.2520 [6 per cell]
Hg  0.0000  0.0000  0.1251 [6 per cell]
Hg  0.0000  0.0000  0.3753 [6 per cell]

Results
DOS(E_F) = 18.6 states/eV/cell
E_form = -454.4 meV per atom
calculated density = 8.90 g/cm³

---

Record 6
This record from the Alexandria database describes HfCrSnRu after structural relaxation. The functional is GGA-PBE.

Unit cell a=6.4401 b=6.4401 c=6.4401 alpha=90.00 beta=90.00 gamma=90.00
Space group F-43m (No. 216)
One atom of each set of equivalent atoms:
Hf  0.0000  0.0000  0.0000 [4 per cell]
Cr  0.2500  0.2500  0.7500 [4 per cell]
Sn  0.0000  0.0000  0.5000 [4 per cell]
Ru  0.2500  0.2500  0.2500 [4 per cell]

Results
DOS(E_F) = 18.4 states/eV/cell
E_form = -243.7 meV per atom
calculated density = 11.20 g/cm³

---

> Which value of calculated density does entry 5 give?

8.90 g/cm³

---

> Look up the calculated density of the sixth one.

11.20 g/cm³

---

Please write out number 4 again, unchanged.
This record from the Alexandria database describes Fe2HPd2 after structural relaxation. The functional is GGA-PBE.

Unit cell a=3.0190 b=3.0190 c=13.8050 alpha=90.00 beta=90.00 gamma=90.00
Space group I4/mmm (No. 139)
One atom of each set of equivalent atoms:
Fe  0.0000  0.5000  0.2500 [4 per cell]
H  0.0000  0.0000  0.0000 [2 per cell]
Pd  0.0000  0.0000  0.4054 [4 per cell]

Results
DOS(E_F) = 13.2 states/eV/cell
ΔE to the lowest computed polymorph = 77 meV/atom
calculated density = 8.59 g/cm³